1.
A PBEsol-optimized structure of Sr2Hg2Sb. Source: Alexandria via LeMat-Bulk, functional SCAN.

a = 6.193 Å, b = 6.156 Å, c = 6.193 Å
α = 59.80°, β = 90.00°, γ = 120.20°
Atoms (fractional coordinates):
1 Sb 0.000 0.000 0.000
2 Hg 0.656 0.312 0.344
3 Hg 0.344 0.688 0.656
4 Sr 0.750 0.500 0.750
5 Sr 0.250 0.500 0.250

Calculated values
The value obtained for the formation energy without anion corrections is -0.4896 eV per atom. The value obtained for the density is 6.99 g/cm³. The space group is No. 139.

***

2.
A PBEsol-optimized structure of ZnReBr2. Source: Alexandria via LeMat-Bulk, functional SCAN.

a = 3.002 Å, b = 4.683 Å, c = 6.427 Å
α = 111.36°, β = 103.51°, γ = 90.00°
Atoms (fractional coordinates):
1 Br 0.013 0.013 0.026
2 Br 0.818 0.318 0.635
3 Re 0.493 0.493 0.987
4 Zn 0.176 0.676 0.352

Calculated values
The value obtained for the formation energy without anion corrections is 0.6984 eV per atom. The value obtained for the density is 8.39 g/cm³. The space group is No. 44.

***

3.
A PBEsol-optimized structure of Mn2TlPtCl. Source: Alexandria via LeMat-Bulk, functional SCAN.

a = 5.073 Å, b = 5.087 Å, c = 5.087 Å
α = 90.00°, β = 90.00°, γ = 90.00°
Atoms (fractional coordinates):
1 Tl 0.000 0.000 0.000
2 Mn 0.000 0.000 0.500
3 Mn 0.000 0.500 0.000
4 Pt 0.500 0.500 0.500
5 Cl 0.500 0.000 0.000

Calculated values
The value obtained for the formation energy without anion corrections is 1.0829 eV per atom. The value obtained for the density is 6.89 g/cm³. The space group is No. 123.

***

4.
A PBEsol-optimized structure of Al2TeCl. Source: Alexandria via LeMat-Bulk, functional SCAN.

a = 3.356 Å, b = 3.356 Å, c = 8.955 Å
α = 90.00°, β = 90.00°, γ = 112.92°
Atoms (fractional coordinates):
1 Te 0.500 0.500 0.191
2 Al 0.000 0.000 0.974
3 Al 0.500 0.500 0.760
4 Cl 0.000 0.000 0.575

Calculated values
The value obtained for the formation energy without anion corrections is -0.2450 eV per atom. The value obtained for the density is 3.88 g/cm³. The space group is No. 35.

***

5.
A PBEsol-optimized structure of AlGe2Mo2. Source: Alexandria via LeMat-Bulk, functional SCAN.

a = 4.127 Å, b = 4.127 Å, c = 5.915 Å
α = 110.42°, β = 110.42°, γ = 90.00°
Atoms (fractional coordinates):
1 Mo 0.250 0.750 0.500
2 Mo 0.750 0.250 0.500
3 Ge 0.388 0.388 0.775
4 Ge 0.612 0.612 0.225
5 Al 0.000 0.000 0.000

Calculated values
Its calculated formation energy is 369.3 meV/atom. The value obtained for the density is 6.90 g/cm³. The space group is No. 139.

***

6.
A PBEsol-optimized structure of KCdB3O6. Source: Alexandria via LeMat-Bulk, functional SCAN.

a = 7.194 Å, b = 7.553 Å, c = 12.504 Å
α = 82.06°, β = 73.14°, γ = 61.56°
Atoms (fractional coordinates):
1 K 0.811 0.484 0.868
2 K 0.205 0.484 0.632
3 K 0.189 0.516 0.132
4 K 0.795 0.516 0.368
5 Cd 0.496 0.148 0.877
6 Cd 0.856 0.148 0.623
7 Cd 0.504 0.852 0.123
8 Cd 0.144 0.852 0.377
9 B 0.196 0.613 0.874
10 B 0.691 0.613 0.626
11 B 0.804 0.387 0.126
12 B 0.309 0.387 0.374
13 B 0.996 0.977 0.843
14 B 0.527 0.977 0.657
15 B 0.004 0.023 0.157
16 B 0.473 0.023 0.343
17 B 0.323 0.842 0.912
18 B 0.335 0.842 0.588
19 B 0.677 0.158 0.088
20 B 0.665 0.158 0.412
21 O 0.478 0.866 0.938
22 O 0.156 0.866 0.562
23 O 0.522 0.134 0.062
24 O 0.844 0.134 0.438
25 O 0.029 0.780 0.836
26 O 0.690 0.780 0.664
27 O 0.971 0.220 0.164
28 O 0.310 0.220 0.336
29 O 0.340 0.649 0.913
30 O 0.512 0.649 0.587
31 O 0.660 0.351 0.087
32 O 0.488 0.351 0.413
33 O 0.824 0.138 0.817
34 O 0.538 0.138 0.683
35 O 0.176 0.862 0.183
36 O 0.462 0.862 0.317
37 O 0.148 0.004 0.879
38 O 0.348 0.004 0.621
39 O 0.852 0.996 0.121
40 O 0.652 0.996 0.379
41 O 0.211 0.432 0.871
42 O 0.857 0.432 0.629
43 O 0.789 0.568 0.129
44 O 0.143 0.568 0.371

Calculated values
The value obtained for the formation energy without anion corrections is -2.3632 eV per atom. The value obtained for the density is 3.25 g/cm³. The space group is No. 15.

***

7.
A PBEsol-optimized structure of YScTl2. Source: Alexandria via LeMat-Bulk, functional SCAN.

a = 3.402 Å, b = 4.100 Å, c = 6.872 Å
α = 90.00°, β = 90.00°, γ = 90.00°
Atoms (fractional coordinates):
1 Y 0.500 0.500 0.000
2 Sc 0.500 0.500 0.500
3 Tl 0.000 0.000 0.734
4 Tl 0.000 0.000 0.266

Calculated values
Its calculated formation energy is -532.7 meV/atom. The value obtained for the density is 9.40 g/cm³. The space group is No. 47.

***

8.
A PBEsol-optimized structure of Al2MoAuN. Source: Alexandria via LeMat-Bulk, functional SCAN.

a = 4.611 Å, b = 4.611 Å, c = 5.312 Å
α = 90.00°, β = 90.00°, γ = 90.00°
Atoms (fractional coordinates):
1 Mo 0.000 0.000 0.500
2 Au 0.000 0.000 0.000
3 Al 0.000 0.500 0.000
4 Al 0.500 0.000 0.000
5 N 0.500 0.500 0.500

Calculated values
The value obtained for the formation energy without anion corrections is 1.5141 eV per atom. The value obtained for the density is 5.30 g/cm³. The space group is No. 123.